PBE-GGA CeLuFe4, relaxed; calculated total energy = -7.497 eV per atom; calculated formation energy = -65 kJ/mol of formula units; density = 9.5 Mg/m³; symmetry = No. 216
1.0
-2.0296 -2.3301 -4.0650
3.0427 -2.0733 -3.5378
0.3036 -5.0773 -0.4482
Fe Ce Lu
4 1 1
direct
0.6251 0.6251 0.1247 Fe
0.6251 0.1247 0.6251 Fe
0.6251 0.6251 0.6251 Fe
0.1247 0.6251 0.6251 Fe
0.2500 0.2500 0.2500 Ce
0.0000 0.0000 0.0000 Lu


PBE-GGA ScAl2SiF, relaxed; formation energy from raw total energies = -0.491 eV/atom; calculated total energy = -4.713 eV per atom; density = 2.9 Mg/m³; symmetry = No. 123
1.0
4.2331 0.0000 0.0000
0.0000 4.6350 0.0000
0.0000 0.0000 4.2331
Al F Si Sc
2 1 1 1
direct
0.0000 0.0000 0.5000 Al
0.5000 0.0000 0.0000 Al
0.0000 0.0000 0.0000 F
0.5000 0.5000 0.5000 Si
0.0000 0.5000 0.0000 Sc


PBE-GGA As2PtAu, relaxed; calculated total energy = -4.530 eV per atom; calculated formation energy = 48 kJ/mol of formula units; density = 12.7 Mg/m³; symmetry = No. 123
1.0
-4.2221 -0.2594 1.2035
1.2310 -0.7788 4.1507
-0.0263 3.5884 0.6811
Pt Au As
1 1 2
direct
0.0000 0.5000 0.5000 Pt
0.5000 0.0000 0.5000 Au
0.0000 0.0000 0.0000 As
0.5000 0.5000 0.0000 As


Look up the density of the third one. 12.7 Mg/m³